[1]
A plane-wave DFT calculation with PBE-GGA was carried out for a relaxed structure of SiPC2.

Lattice parameters (Å, degrees): 3.054 3.190 4.851 90.13 90.11 117.68
Space group P1 (No. 1)
Symmetry-distinct sites (fractional):
Si1 0.000 0.000 0.000 [1 per cell]
P1 0.658 0.329 0.505 [1 per cell]
C1 0.001 0.001 0.393 [1 per cell]
C2 0.668 0.344 0.877 [1 per cell]

Calculated values
Formation energy from raw total energies: 0.3896 eV/atom
Size of the total moment: 0.00 μB per atom
Energy above the lowest structure with this stoichiometry: 84 meV per atom
Crystal system: triclinic

[2]
A plane-wave DFT calculation with PBE-GGA was carried out for a relaxed structure of Si2PC.

Lattice parameters (Å, degrees): 5.868 3.050 5.576 90.00 91.12 90.00
Space group Cm (No. 8)
Symmetry-distinct sites (fractional):
Si1 0.000 0.000 0.000 [2 per cell]
Si2 0.181 0.000 0.580 [2 per cell]
P1 0.198 0.500 0.243 [2 per cell]
C1 0.483 0.000 0.740 [2 per cell]

Calculated values
Formation energy from raw total energies: 0.4195 eV/atom
Size of the total moment: 0.00 μB per atom
Energy above the lowest structure with this stoichiometry: 299 meV per atom
Crystal system: monoclinic

[3]
A plane-wave DFT calculation with PBE-GGA was carried out for a relaxed structure of SiPC2.

Lattice parameters (Å, degrees): 5.202 3.014 5.173 90.00 91.83 90.00
Space group Cm (No. 8)
Symmetry-distinct sites (fractional):
Si1 0.000 0.000 0.000 [2 per cell]
P1 0.194 0.500 0.605 [2 per cell]
C1 0.339 0.000 0.145 [2 per cell]
C2 0.351 0.000 0.440 [2 per cell]

Calculated values
Formation energy from raw total energies: 0.3624 eV/atom
Size of the total moment: 0.00 μB per atom
Energy above the lowest structure with this stoichiometry: 57 meV per atom
Crystal system: monoclinic

| no. | total DFT energy (no corrections) (eV/atom) |
| --- | --- |
| 1 | -6.931 |
| 2 | -5.950 |
| 3 | -6.958 |